Entry 1:
Computed, not measured: crystalline Pm2DyY3Bi6 at its relaxed geometry at the PBE-GGA level of DFT.

Unit cell a=7.824 b=7.824 c=7.813 alpha=99.60 beta=99.60 gamma=120.01
Fractional coordinates of all 12 atoms:
Bi (0.586, 0.916, 0.747)
Bi (0.916, 0.586, 0.747)
Bi (0.084, 0.414, 0.253)
Bi (0.756, 0.756, 0.255)
Bi (0.414, 0.084, 0.253)
Bi (0.244, 0.244, 0.745)
Y (0.169, 0.831, 0.500)
Y (0.500, 0.500, 0.500)
Y (0.831, 0.169, 0.500)
Pm (0.334, 0.666, 0.000)
Pm (0.666, 0.334, 0.000)
Dy (0.000, 0.000, 0.000)

## Properties
As for the total magnetization: 0.0 μB per formula unit. For the final energy, the calculation gives -67.6 eV for the cell shown. For the formation energy, the calculation gives -0.904 eV/atom.

=====

Entry 2:
Computed, not measured: crystalline Ta2GaOs2 at its relaxed geometry at the PBE-GGA level of DFT.

Unit cell a=7.525 b=7.525 c=3.044 alpha=90.00 beta=90.00 gamma=90.00
Fractional coordinates of all 10 atoms:
Ga (0.500, 0.500, 0.000)
Ga (0.000, 0.000, 0.000)
Os (0.636, 0.136, 0.000)
Os (0.864, 0.636, 0.000)
Os (0.364, 0.864, 0.000)
Os (0.136, 0.364, 0.000)
Ta (0.160, 0.660, 0.500)
Ta (0.660, 0.840, 0.500)
Ta (0.340, 0.160, 0.500)
Ta (0.840, 0.340, 0.500)

## Properties
As for the total magnetization: 0.0 μB per formula unit. For the final energy, the calculation gives -98.9 eV for the cell shown. For the formation energy, the calculation gives -0.053 eV/atom.

=====

Entry 3:
Computed, not measured: crystalline Pr6Mg7 at its relaxed geometry at the PBE-GGA level of DFT.

Unit cell a=6.126 b=6.126 c=12.249 alpha=75.52 beta=75.52 gamma=60.00
Fractional coordinates of all 13 atoms:
Pr (0.653, 0.653, 0.042)
Pr (0.165, 0.165, 0.505)
Pr (0.452, 0.452, 0.644)
Pr (0.548, 0.548, 0.356)
Pr (0.347, 0.347, 0.958)
Pr (0.835, 0.835, 0.495)
Mg (0.095, 0.592, 0.218)
Mg (0.905, 0.408, 0.782)
Mg (0.000, 0.000, 0.000)
Mg (0.905, 0.905, 0.782)
Mg (0.408, 0.905, 0.782)
Mg (0.095, 0.095, 0.218)
Mg (0.592, 0.095, 0.218)

## Properties
As for the total magnetization: 0.0 μB per formula unit. For the final energy, the calculation gives -40.7 eV for the cell shown. For the formation energy, the calculation gives -0.064 eV/atom.

=====

Entry 4:
Computed, not measured: crystalline MgTaV at its relaxed geometry at the PBE-GGA level of DFT.

Unit cell a=3.354 b=3.354 c=10.328 alpha=90.00 beta=90.00 gamma=90.00
Fractional coordinates of all 6 atoms:
Ta (0.000, 0.500, 0.793)
Ta (0.500, 0.000, 0.207)
Mg (0.500, 0.000, 0.600)
Mg (0.000, 0.500, 0.400)
V (0.500, 0.500, 0.000)
V (0.000, 0.000, 0.000)

## Properties
As for the total magnetization: 0.0 μB per formula unit. For the final energy, the calculation gives -41.4 eV for the cell shown. For the formation energy, the calculation gives 0.615 eV/atom.

=====

Entry 5:
Computed, not measured: crystalline HgPdPt2 at its relaxed geometry at the PBE-GGA level of DFT.

Unit cell a=4.236 b=3.977 c=3.977 alpha=90.00 beta=90.00 gamma=90.00
Fractional coordinates of all 4 atoms:
Pd (0.500, 0.000, 0.000)
Pt (0.000, 0.500, 0.000)
Pt (0.000, 0.000, 0.500)
Hg (0.500, 0.500, 0.500)

## Properties
As for the total magnetization: 0.0 μB per formula unit. For the final energy, the calculation gives -17.6 eV for the cell shown. For the formation energy, the calculation gives -0.002 eV/atom.

=====

Entry 6:
Computed, not measured: crystalline RbBaMgTl at its relaxed geometry at the PBE-GGA level of DFT.

Unit cell a=5.895 b=5.895 c=5.895 alpha=60.00 beta=60.00 gamma=60.00
Fractional coordinates of all 4 atoms:
Ba (0.500, 0.500, 0.500)
Rb (0.750, 0.750, 0.750)
Mg (0.000, 0.000, 0.000)
Tl (0.250, 0.250, 0.250)

## Properties
As for the total magnetization: 0.0 μB per formula unit. For the final energy, the calculation gives -7.0 eV for the cell shown. For the formation energy, the calculation gives -0.026 eV/atom.

=====

Entry 7:
Computed, not measured: crystalline NaVB2N at its relaxed geometry at the PBE-GGA level of DFT.

Unit cell a=4.076 b=3.830 c=4.076 alpha=90.00 beta=90.00 gamma=90.00
Fractional coordinates of all 5 atoms:
B (0.000, 0.000, 0.500)
B (0.500, 0.000, 0.000)
Na (0.000, 0.000, 0.000)
N (0.000, 0.500, 0.000)
V (0.500, 0.500, 0.500)

## Properties
As for the total magnetization: 0.2 μB per formula unit. For the final energy, the calculation gives -18.5 eV for the cell shown. As for the energy relative to the elements, uncorrected: 2.718 eV per atom.

=====

Entry 8:
Computed, not measured: crystalline KBa2Ir at its relaxed geometry at the PBE-GGA level of DFT.

Unit cell a=5.499 b=5.481 c=7.194 alpha=40.44 beta=90.00 gamma=90.00
Fractional coordinates of all 4 atoms:
Ba (0.500, 0.500, 0.000)
Ba (0.000, 0.000, 0.000)
K (0.000, 0.000, 0.500)
Ir (0.500, 0.500, 0.500)

## Properties
As for the total magnetization: 0.0 μB per formula unit. For the final energy, the calculation gives -12.2 eV for the cell shown. For the formation energy, the calculation gives 0.389 eV/atom.

=====

Entry 9:
Computed, not measured: crystalline Ba2P at its relaxed geometry at the PBE-GGA level of DFT.

Unit cell a=4.675 b=8.041 c=16.267 alpha=90.00 beta=90.00 gamma=90.00
Fractional coordinates of all 12 atoms:
P (0.750, 0.750, 0.500)
P (0.750, 0.250, 0.000)
P (0.250, 0.250, 0.500)
P (0.250, 0.750, 0.000)
Ba (0.250, 0.916, 0.606)
Ba (0.750, 0.584, 0.106)
Ba (0.750, 0.416, 0.606)
Ba (0.250, 0.084, 0.106)
Ba (0.750, 0.916, 0.894)
Ba (0.750, 0.084, 0.394)
Ba (0.250, 0.416, 0.894)
Ba (0.250, 0.584, 0.394)

## Properties
As for the total magnetization: 0.0 μB per formula unit. For the final energy, the calculation gives -47.0 eV for the cell shown. For the formation energy, the calculation gives -0.829 eV/atom.

=====

Entry 10:
Computed, not measured: crystalline Cs4AuSeF at its relaxed geometry at the PBE-GGA level of DFT.

Unit cell a=5.634 b=5.634 c=10.349 alpha=105.79 beta=105.79 gamma=90.00
Fractional coordinates of all 7 atoms:
Se (0.365, 0.365, 0.729)
F (0.021, 0.021, 0.042)
Cs (0.489, 0.989, 0.978)
Cs (0.178, 0.178, 0.356)
Cs (0.824, 0.824, 0.648)
Cs (0.989, 0.489, 0.978)
Au (0.635, 0.635, 0.270)

## Properties
As for the total magnetization: 0.0 μB per formula unit. For the final energy, the calculation gives -21.1 eV for the cell shown. As for the energy relative to the elements, uncorrected: -1.287 eV per atom.

=====

Entry 11:
Computed, not measured: crystalline OsW2 at its relaxed geometry at the PBE-GGA level of DFT.

Unit cell a=4.324 b=4.324 c=2.966 alpha=90.00 beta=90.00 gamma=90.00
Fractional coordinates of all 3 atoms:
W (0.000, 0.500, 0.500)
W (0.500, 0.000, 0.500)
Os (0.000, 0.000, 0.000)

## Properties
As for the total magnetization: 0.0 μB per formula unit. For the final energy, the calculation gives -34.2 eV for the cell shown. For the formation energy, the calculation gives 0.995 eV/atom.

=====

Entry 12:
Computed, not measured: crystalline Ac2NbTl at its relaxed geometry at the PBE-GGA level of DFT.

Unit cell a=3.517 b=3.517 c=12.280 alpha=81.77 beta=81.77 gamma=60.00
Fractional coordinates of all 4 atoms:
Tl (0.500, 0.500, 0.500)
Ac (0.084, 0.084, 0.747)
Ac (0.916, 0.916, 0.253)
Nb (0.000, 0.000, 0.000)

## Properties
As for the total magnetization: 0.6 μB per formula unit. For the final energy, the calculation gives -17.8 eV for the cell shown. For the formation energy, the calculation gives 0.706 eV/atom.

=====

Entry 13:
Computed, not measured: crystalline Gd2InNi at its relaxed geometry at the PBE-GGA level of DFT.

Unit cell a=3.775 b=3.775 c=9.983 alpha=79.10 beta=79.10 gamma=60.00
Fractional coordinates of all 4 atoms:
Gd (0.112, 0.112, 0.664)
Gd (0.888, 0.888, 0.336)
In (0.000, 0.000, 0.000)
Ni (0.500, 0.500, 0.500)

## Properties
As for the total magnetization: 14.8 μB per formula unit. For the final energy, the calculation gives -36.9 eV for the cell shown. For the formation energy, the calculation gives -0.049 eV/atom.